DFT (PBE) results for an optimized crystal structure of Th2CoPb.

The calculation puts the energy of formation from the pure elements at -0.74 eV per formula unit. The energy above the most stable polymorph in this dataset comes out at 0.074 eV per atom.

abc: 4.291 4.886 10.221
angles: 89.99 90.00 90.00
Positions (direct):
Co (0.701, 0.202, 0.979)
Pb (0.701, 0.529, 0.392)
Th (0.201, 0.187, 0.172)
Co (0.201, 0.702, 0.237)
Th (0.701, 0.516, 0.718)
Th (0.201, 0.015, 0.498)
Th (0.701, 0.687, 0.044)
Pb (0.201, 0.029, 0.824)



DFT (PBE) results for an optimized crystal structure of Th7Co2Pb2.

The calculation puts the energy of formation from the pure elements at -2.34 eV per formula unit.

abc: 3.661 9.984 9.984
angles: 61.64 79.44 79.44
Positions (direct):
Th (0.177, 0.725, 0.920)
Th (0.161, 0.102, 0.576)
Th (0.839, 0.424, 0.898)
Co (0.732, 0.856, 0.680)
Th (0.823, 0.080, 0.275)
Pb (0.500, 0.365, 0.635)
Co (0.268, 0.320, 0.144)
Pb (0.000, 0.754, 0.246)
Th (0.500, 0.039, 0.961)
Th (0.357, 0.737, 0.550)
Th (0.643, 0.450, 0.263)



DFT (PBE) results for an optimized crystal structure of Th2CoPb.

The calculation puts the energy of formation from the pure elements at -1.03 eV per formula unit. The energy above the most stable polymorph in this dataset comes out at 0.000 eV per atom.

abc: 3.910 3.910 8.767
angles: 77.11 77.11 60.00
Positions (direct):
Th (0.728, 0.728, 0.816)
Th (0.272, 0.272, 0.184)
Pb (0.500, 0.500, 0.500)
Co (0.000, 0.000, 0.000)



DFT (PBE) results for an optimized crystal structure of Th5CoPb2.

The calculation puts the energy of formation from the pure elements at -0.56 eV per formula unit.

abc: 7.519 7.519 6.900
angles: 123.04 123.04 89.96
Positions (direct):
Co (0.008, 0.008, 0.016)
Pb (0.257, 0.757, 0.513)
Th (0.718, 0.718, 0.436)
Th (0.257, 0.762, 0.019)
Th (0.257, 0.257, 0.019)
Th (0.762, 0.762, 0.019)
Th (0.762, 0.257, 0.019)
Pb (0.757, 0.257, 0.513)



DFT (PBE) results for an optimized crystal structure of Th2ZnCoPb.

The calculation puts the energy of formation from the pure elements at -1.27 eV per formula unit.

abc: 4.275 8.601 8.808
angles: 130.76 90.00 90.00
Positions (direct):
Pb (0.750, 0.188, 0.661)
Th (0.250, 0.302, 0.444)
Th (0.750, 0.847, 0.047)
Co (0.250, 0.722, 0.778)
Pb (0.250, 0.812, 0.339)
Th (0.250, 0.153, 0.953)
Zn (0.250, 0.500, 0.891)
Zn (0.750, 0.500, 0.109)
Co (0.750, 0.278, 0.222)
Th (0.750, 0.698, 0.556)



DFT (PBE) results for an optimized crystal structure of TiCoPb2.

The calculation puts the energy of formation from the pure elements at 1.72 eV per formula unit. The energy above the most stable polymorph in this dataset comes out at 0.000 eV per atom.

abc: 4.816 4.816 4.816
angles: 60.00 60.00 60.00
Site moments in Bohr magnetons follow the coordinates.
Positions (direct):
Pb (0.250, 0.250, 0.250)  -0.01
Co (0.500, 0.500, 0.500)  0.73
Pb (0.750, 0.750, 0.750)  -0.01
Ti (0.000, 0.000, 0.000)  1.09



DFT (PBE) results for an optimized crystal structure of Ti8Co2Pb.

The calculation puts the energy of formation from the pure elements at -1.16 eV per formula unit.

abc: 5.122 7.504 7.504
angles: 40.20 78.67 78.67
Positions (direct):
Ti (0.888, 0.219, 0.219)
Co (0.394, 0.259, 0.259)
Ti (0.589, 0.145, 0.644)
Ti (0.411, 0.356, 0.855)
Co (0.606, 0.741, 0.741)
Ti (0.411, 0.855, 0.356)
Ti (0.112, 0.781, 0.781)
Ti (0.920, 0.606, 0.606)
Ti (0.080, 0.394, 0.394)
Pb (0.000, 0.000, 0.000)
Ti (0.589, 0.644, 0.145)



DFT (PBE) results for an optimized crystal structure of Ti2Co2Pb.

The calculation puts the energy of formation from the pure elements at -0.49 eV per formula unit.

abc: 4.105 4.105 5.662
angles: 68.75 68.75 90.00
Positions (direct):
Pb (0.000, 0.000, 0.000)
Ti (0.250, 0.750, 0.500)
Ti (0.750, 0.250, 0.500)
Co (0.616, 0.616, 0.767)
Co (0.384, 0.384, 0.233)



Calculated V in order - 26.8, 28.5, 28.0, 31.1, 24.5, 19.7, 16.5, 16.4 Å³ per atom